10
Lattice="7.4125 -1.0952 -0.7737 2.7315 6.2245 0.2297 2.7315 2.2966 5.7898" Properties=species:S:1:pos:R:3 comment="PBE Tb6Pb3C, optimized geometry" dos_ef_per_ev_cell=7.93 formation_enthalpy_0k_ev_per_fu=-3.2 total_magnetization_mub_per_cell=0.00 pbc="T T T"
C 6.4378 3.7129 2.6229
Pb 2.8997 1.2815 0.9053
Pb 9.9760 6.1443 4.3405
Pb 0.0000 0.0000 0.0000
Tb 7.9532 3.4370 4.5035
Tb 5.0929 5.4992 3.8847
Tb 7.9532 5.3932 1.7343
Tb 7.7828 1.9267 1.3610
Tb 4.9224 3.9889 0.7423
Tb 4.9224 2.0327 3.5115

13
Lattice="3.5712 0.0000 0.7735 1.6133 8.7500 1.1821 -0.1375 0.0754 9.2649" Properties=species:S:1:pos:R:3 comment="PBE Tb8PbC4, optimized geometry" dos_ef_per_ev_cell=9.66 formation_enthalpy_0k_ev_per_fu=-3.9 total_magnetization_mub_per_cell=0.00 pbc="T T T"
Tb 0.5778 0.1580 5.9628
Tb 2.1559 3.0874 7.3076
Tb 3.4480 2.9949 1.3423
Tb 4.1706 5.9481 6.6366
Tb 3.0182 5.7634 3.3265
Tb 1.0035 2.9003 3.9974
Tb 4.5957 8.6914 4.6739
Tb 1.7261 5.8563 9.2920
C 2.5741 1.4954 5.3767
C 3.7364 4.4864 8.6411
C 1.4376 4.3650 1.9935
C 2.5995 7.3536 5.2596
Pb 1.7115 0.0882 9.3593

7
Lattice="3.6304 0.0000 0.0000 1.8152 3.1441 0.0000 1.8152 1.0480 14.4875" Properties=species:S:1:pos:R:3 comment="PBE Tb4PbC2, optimized geometry" dos_ef_per_ev_cell=3.52 formation_enthalpy_0k_ev_per_fu=-2.6 total_magnetization_mub_per_cell=0.00 pbc="T T T"
Pb 0.0000 0.0000 0.0000
C 3.6304 2.0960 10.4024
C 3.6304 2.0960 4.0851
Tb 5.4457 3.1441 11.8041
Tb 5.4457 3.1441 5.3829
Tb 1.8152 1.0480 2.6835
Tb 1.8152 1.0480 9.1046

14
Lattice="6.5724 0.0000 -0.4060 0.0000 6.8113 0.0000 -2.8865 0.0000 8.9917" Properties=species:S:1:pos:R:3 comment="PBE Tb4Pb2C, optimized geometry" dos_ef_per_ev_cell=2.55 formation_enthalpy_0k_ev_per_fu=-2.7 e_above_lowest_polymorph_mev_per_atom=146 total_magnetization_mub_per_cell=0.00 pbc="T T T"
Pb -0.7410 1.7028 8.5710
Pb 3.6538 5.1084 4.8989
Pb 0.0321 1.7028 3.6867
Pb 4.4269 5.1084 0.0146
Tb 1.0838 3.3960 6.3570
Tb 5.6349 1.7028 0.1605
Tb -1.9490 5.1084 8.4252
Tb 2.6021 6.8017 2.2286
Tb 2.6021 3.4152 2.2286
Tb 1.0838 0.0096 6.3570
Tb 4.2097 1.7028 5.5082
Tb -0.5238 5.1084 3.0775
C 2.4330 1.7028 6.9061
C 1.2529 5.1084 1.6795

12
Lattice="5.0903 0.0000 0.0000 2.5451 9.0407 0.2847 2.5451 0.7796 8.0927" Properties=species:S:1:pos:R:3 comment="PBE Tb7Pb4C, optimized geometry" dos_ef_per_ev_cell=6.65 formation_enthalpy_0k_ev_per_fu=-2.7 total_magnetization_mub_per_cell=0.00 pbc="T T T"
Tb 5.0903 5.4681 6.0788
Tb 7.6354 2.8790 7.1860
Tb 7.6354 8.2755 4.9678
Tb 2.5451 1.5447 3.4096
Tb 5.0903 4.3521 2.2987
Tb 2.5451 0.0000 0.0000
Tb 2.5451 6.9412 1.1914
Pb 7.6354 6.6046 7.5049
Pb 5.0903 7.3491 3.3701
Pb 2.5451 3.2156 0.8725
Pb 5.0903 2.4711 5.0074
C 0.0000 0.0000 0.0000

9
Lattice="5.1259 0.0000 0.0000 -2.5630 6.2684 0.0671 0.0000 -0.8921 7.1906" Properties=species:S:1:pos:R:3 comment="PBE Tb5Pb2C2, optimized geometry" dos_ef_per_ev_cell=2.75 formation_enthalpy_0k_ev_per_fu=-2.6 total_magnetization_mub_per_cell=0.00 pbc="T T T"
Pb 0.0000 4.7063 4.9608
Pb 2.5630 0.6699 2.2968
Tb 2.5630 1.4646 6.4684
Tb 0.0000 0.0000 0.0000
Tb 0.0000 1.3397 4.1481
Tb 0.0000 3.9117 0.7893
Tb 2.5630 4.0366 3.1095
C 2.5630 4.0497 0.8544
C 0.0000 1.3266 6.4033

10
Lattice="-4.3120 -3.7160 2.2847 1.9861 -3.5567 6.1970 -4.5856 3.2383 4.8460" Properties=species:S:1:pos:R:3 comment="PBE Tb5Pb4C, optimized geometry" dos_ef_per_ev_cell=6.04 formation_enthalpy_0k_ev_per_fu=-3.3 total_magnetization_mub_per_cell=0.00 pbc="T T T"
Pb -1.9921 -0.3170 4.0066
Pb -4.9448 -3.7393 9.3346
Pb -2.4918 -3.3510 6.3621
Pb -4.4450 -0.7053 6.9791
C -0.2266 -0.1953 0.1201
Tb -2.2613 -1.8453 9.1872
Tb -1.9339 -1.6666 1.0247
Tb -4.6446 -2.1843 4.1376
Tb 0.2958 -2.3756 4.9173
Tb -7.2017 -1.6540 8.4075

13
Lattice="6.4589 0.0000 0.1687 0.0000 7.3022 0.0000 -2.4001 -3.6511 7.2689" Properties=species:S:1:pos:R:3 comment="PBE Tb8Pb2C3, optimized geometry" dos_ef_per_ev_cell=9.47 formation_enthalpy_0k_ev_per_fu=-3.6 total_magnetization_mub_per_cell=0.00 pbc="T T T"
Pb 0.9180 0.0000 3.7653
Pb 3.1408 3.6511 3.6723
C 0.0000 1.8552 0.0000
C 0.0000 5.4470 0.0000
C 3.2294 0.0000 0.0844
Tb 1.9790 1.8921 6.0821
Tb 5.3542 0.0000 1.5183
Tb 5.6095 3.6511 1.6401
Tb -1.5507 0.0000 5.7975
Tb -1.2954 3.6511 5.9193
Tb 2.0798 1.7590 1.3555
Tb 1.9790 -1.8921 6.0821
Tb 2.0798 5.5432 1.3555

7
Lattice="-0.3032 -4.7163 -0.6938 4.1056 -0.6321 2.5031 -6.1742 1.9450 5.9198" Properties=species:S:1:pos:R:3 comment="PBE Tb3TmPb2C, optimized geometry" dos_ef_per_ev_cell=0.70 formation_enthalpy_0k_ev_per_fu=-4.0 total_magnetization_mub_per_cell=0.00 pbc="T T T"
C 0.0000 0.0000 0.0000
Tb 2.0528 -0.3161 1.2516
Tb -1.0267 -3.1739 5.5809
Tb -1.3451 -0.2296 2.1482
Pb -3.0635 -0.5228 4.8928
Pb 0.6918 -2.8806 2.8363
Tm -0.1516 -2.3582 -0.3469

7
Lattice="-4.4085 -1.9531 -0.3862 1.6241 -4.0456 1.9198 -0.4404 5.7027 6.4802" Properties=species:S:1:pos:R:3 comment="PBE TbTm3Pb2C, optimized geometry" dos_ef_per_ev_cell=0.83 formation_enthalpy_0k_ev_per_fu=-3.7 total_magnetization_mub_per_cell=0.00 pbc="T T T"
Pb -1.9189 -2.2224 2.8495
Pb -1.3059 1.9265 5.1643
Tm 0.8121 -2.0228 0.9599
Tm -2.6528 -1.1397 5.7518
Tm -0.5720 0.8438 2.2620
Tb -2.2042 -0.9765 -0.1931
C 0.0000 0.0000 0.0000

5
Lattice="-1.3656 -4.6980 -0.5534 4.7305 -1.2935 -0.6927 0.5156 -0.7238 4.8725" Properties=species:S:1:pos:R:3 comment="PBE Tb2YPbC, optimized geometry" dos_ef_per_ev_cell=2.32 formation_enthalpy_0k_ev_per_fu=-2.7 total_magnetization_mub_per_cell=0.00 pbc="T T T"
C 0.0000 0.0000 0.0000
Pb 1.9402 -3.3577 1.8132
Tb 2.3653 -0.6467 -0.3464
Tb 0.2578 -0.3619 2.4362
Y -0.6828 -2.3490 -0.2767

7
Lattice="-2.1901 -4.2568 -0.8125 2.4968 -1.9787 3.6366 -6.0232 5.1568 3.7275" Properties=species:S:1:pos:R:3 comment="PBE TbY3Pb2C, optimized geometry" dos_ef_per_ev_cell=0.58 formation_enthalpy_0k_ev_per_fu=-4.0 total_magnetization_mub_per_cell=0.00 pbc="T T T"
C 0.0000 0.0000 0.0000
Y 1.2484 -0.9894 1.8183
Y -1.8528 0.6436 1.6222
Y -3.8637 -1.7223 4.9293
Tb -1.0951 -2.1284 -0.4062
Pb -1.5183 -2.5371 2.8757
Pb -4.1982 1.4583 3.6758

8
Lattice="-6.7590 1.3284 0.8679 -0.4135 -5.1408 4.6479 -2.8561 0.2258 5.1809" Properties=species:S:1:pos:R:3 comment="PBE TcPb2C, optimized geometry" dos_ef_per_ev_cell=8.16 formation_enthalpy_0k_ev_per_fu=6.3 e_above_lowest_polymorph_mev_per_atom=0 total_magnetization_mub_per_cell=2.84 pbc="T T T"
C -3.4279 -3.4106 6.2934
C -3.5862 -1.9062 2.7579
Pb -2.1948 -2.9163 4.3571
Pb -8.3949 -2.8795 8.4525
Pb -4.6127 0.1699 2.3702
Pb -4.8549 -1.5474 6.2136
Tc -6.6007 -0.1761 4.4033
Tc 0.0000 0.0000 0.0000

5
Lattice="-3.1906 2.3890 -2.8586 -3.7128 -1.7293 2.6988 0.3066 3.9193 2.9333" Properties=species:S:1:pos:R:3 comment="PBE TcPb3C, optimized geometry" dos_ef_per_ev_cell=5.09 formation_enthalpy_0k_ev_per_fu=7.6 e_above_lowest_polymorph_mev_per_atom=32 total_magnetization_mub_per_cell=2.43 pbc="T T T"
Pb -1.5953 1.1945 -1.4293
Pb 0.1533 1.9597 1.4666
Pb -1.8564 -0.8647 1.3494
Tc -3.2984 2.2895 1.3867
C 0.0000 0.0000 0.0000

5
Lattice="-4.2981 1.5666 -2.6686 -2.4995 -4.4502 1.4134 -1.8243 2.4065 4.3509" Properties=species:S:1:pos:R:3 comment="PBE TcPb3C, optimized geometry" dos_ef_per_ev_cell=0.00 formation_enthalpy_0k_ev_per_fu=7.4 e_above_lowest_polymorph_mev_per_atom=0 total_magnetization_mub_per_cell=3.00 pbc="T T T"
Tc 0.0000 0.0000 0.0000
Pb -0.9122 1.2032 2.1755
Pb -2.1491 0.7833 -1.3343
Pb -1.2498 -2.2251 0.7067
C -4.3110 -0.2386 1.5478

4
Lattice="-0.0613 -3.6249 -3.0918 -2.8365 -3.7483 0.7794 -3.8181 -0.7130 -2.7598" Properties=species:S:1:pos:R:3 comment="PBE TcPb2C, optimized geometry" dos_ef_per_ev_cell=3.11 formation_enthalpy_0k_ev_per_fu=7.2 e_above_lowest_polymorph_mev_per_atom=209 total_magnetization_mub_per_cell=0.86 pbc="T T T"
C 0.0000 0.0000 0.0000
Pb -1.6790 -2.0215 -1.2681
Pb -5.0369 -6.0646 -3.8042
Tc -3.3580 -4.0431 -2.5361

5
Lattice="-0.6776 3.8964 -2.5020 -4.0908 0.6811 2.1685 1.8910 2.1798 2.8826" Properties=species:S:1:pos:R:3 comment="PBE Zr2TcPbC, optimized geometry" dos_ef_per_ev_cell=3.88 formation_enthalpy_0k_ev_per_fu=-1.1 total_magnetization_mub_per_cell=0.00 pbc="T T T"
Zr -2.0454 0.3405 1.0843
Zr -0.3388 1.9482 -1.2510
C 0.0000 0.0000 0.0000
Pb -1.4387 3.3787 1.2746
Tc 0.9455 1.0899 1.4413

4
Lattice="5.4047 4.4022 3.1422 7.3756 1.8529 -0.7943 4.4992 5.9683 -1.6125" Properties=species:S:1:pos:R:3 comment="PBE Te2PbC, optimized geometry" dos_ef_per_ev_cell=3.53 e_above_lowest_polymorph_mev_per_atom=134 total_magnetization_mub_per_cell=0.00 pbc="T T T"
Te 1.5907 1.1252 0.0677
Te 15.6888 11.0982 0.6677
C 0.0000 0.0000 0.0000
Pb 8.6397 6.1117 0.3677

4
Lattice="-3.2913 0.4529 6.8021 -2.3628 -3.3859 6.3449 0.4156 -0.7946 7.5167" Properties=species:S:1:pos:R:3 comment="PBE Te2PbC, optimized geometry" dos_ef_per_ev_cell=0.49 e_above_lowest_polymorph_mev_per_atom=175 total_magnetization_mub_per_cell=0.00 pbc="T T T"
Pb 0.0000 0.0000 0.0000
Te -1.1926 -0.8486 4.7043
Te -4.0459 -2.8789 15.9594
C -2.6192 -1.8638 10.3319

8
Lattice="-6.4876 -0.9885 2.2255 0.1431 -6.4767 -2.4598 -1.4815 -5.3024 4.1144" Properties=species:S:1:pos:R:3 comment="PBE TePb2C, optimized geometry" dos_ef_per_ev_cell=3.96 e_above_lowest_polymorph_mev_per_atom=0 total_magnetization_mub_per_cell=0.00 pbc="T T T"
Pb -6.6753 -9.9314 3.1001
Pb -3.4776 -7.3538 2.7786
Pb -3.8287 -2.6649 1.9136
Pb -1.6704 -5.5853 -0.0322
C -3.1723 -3.7326 -0.1172
C -2.2553 -7.7559 0.7687
Te 0.0000 0.0000 0.0000
Te -5.5707 -5.0118 3.1114